12
Lattice="7.109 0.000 0.000 3.554 6.157 0.000 3.554 2.052 10.418" Properties=species:S:1:pos:R:3 comment="CsGa2HgBr8, relaxed, DFT PBE" e_form_raw_ev_per_fu=-10.84 spacegroup="R-3 (148)" dos_ef_per_ev_cell=4.96 dft_energy_ev_per_atom=-2.619 pbc="T T T"
Cs 7.109 4.104 5.209
Ga 3.554 2.052 2.650
Ga 10.663 6.157 7.768
Hg 0.000 0.000 0.000
Br 3.554 2.052 5.013
Br 5.799 2.226 1.897
Br 10.663 6.157 5.404
Br 9.391 3.910 1.897
Br 4.827 4.299 8.521
Br 6.137 6.178 1.897
Br 8.081 2.031 8.521
Br 8.418 5.983 8.521